[1]
# Tm6BiAs3S2

A geometry-optimized Tm6BiAs3S2 structure (PBE, Alexandria).

POSCAR file:
```
Tm6BiAs3S2
1.0
8.8320 -2.0330 0.0000
8.8320 2.0330 0.0000
-1.8604 0.0000 7.9323
Tm Bi As S
6 1 3 2
direct
0.0027 0.0027 0.2700
0.3250 0.3250 0.9130
0.3322 0.3322 0.4151
0.6678 0.6678 0.5849
0.6750 0.6750 0.0870
0.9973 0.9973 0.7300
0.5000 0.5000 0.0000
0.1641 0.1641 0.8303
0.5000 0.5000 0.5000
0.8359 0.8359 0.1697
0.1700 0.1700 0.3385
0.8300 0.8300 0.6615
```

space group	C2/m

---

[2]
# Tm3BiAsS

A geometry-optimized Tm3BiAsS structure (PBE, Alexandria).

POSCAR file:
```
Tm3BiAsS
1.0
8.3880 0.0000 0.0000
0.0000 4.2801 0.0000
-1.8508 0.0000 9.2376
Tm Bi As S
6 2 2 2
direct
0.0684 0.2500 0.3509
0.2790 0.2500 0.9981
0.3858 0.7500 0.6286
0.6142 0.2500 0.3714
0.7210 0.7500 0.0019
0.9316 0.7500 0.6491
0.3195 0.7500 0.2830
0.6805 0.2500 0.7170
0.1586 0.2500 0.6534
0.8414 0.7500 0.3466
0.3930 0.7500 0.9034
0.6070 0.2500 0.0966
```

space group	P2_1/m

---

Per-record uncorrected formation energy, eV per formula unit: -18.0; -6.9
Per-record size of the total moment, μB per formula unit: 0.0; 0.0